# Ac3Ge4Au PBE relaxed
data_Ac3Ge4Au
_cell_length_a 4.831
_cell_length_b 6.131
_cell_length_c 15.860
_cell_angle_alpha 90.00
_cell_angle_beta 90.00
_cell_angle_gamma 90.00
_symmetry_space_group_name_H-M 'I m m m'
_symmetry_Int_Tables_number 71
_symmetry_space_group_name_Hall '-I 2 2'
loop_
_atom_site_label
_atom_site_type_symbol
_atom_site_fract_x
_atom_site_fract_y
_atom_site_fract_z
_atom_site_occupancy
Ac1 Ac 0.000 0.000 0.000 1
Ac2 Ac 0.000 0.500 0.190 1
Ge1 Ge 0.000 0.291 0.380 1
Au1 Au 0.000 0.000 0.500 1
# **Uncorrected energy**: -4.87 eV/atom
# **Density of states at the Fermi level**: 7.0 states/eV/cell
# **ρ**: 8.26 Mg/m³